Record 1
Material: Zr2InOs
Method: DFT, PBE-GGA
State: optimized geometry

Cell lengths 3.197, 3.193, 7.966 Å; angles 90.00, 90.63, 90.00 degrees
Space group P2/m (No. 10)
One atom of each set of equivalent atoms:
Zr (0.007, 0.000, 0.289) [2 per cell]
In (0.500, 0.500, 0.000) [1 per cell]
Os (0.500, 0.500, 0.500) [1 per cell]

Summary:
For the calculated volume, the calculation gives 81.3 Å³/cell. The total energy is -8.134 eV/atom. For the total magnetic moment, the calculation gives 0.00 μB/f.u.

Record 2
Material: ZrInOs2
Method: DFT, PBE-GGA
State: optimized geometry

Cell lengths 3.0973, 3.0973, 26.0843 Å; angles 90.00, 90.00, 120.00 degrees
Space group R-3m (No. 166, hexagonal axes)
One atom of each set of equivalent atoms:
Zr (0.0000, 0.0000, 0.0000) [3 per cell]
In (0.0000, 0.0000, 0.5000) [3 per cell]
Os (0.0000, 0.0000, 0.2530) [6 per cell]

Summary:
For the calculated volume, the calculation gives 216.7 Å³/cell. The total energy is -8.128 eV/atom. For the total magnetic moment, the calculation gives 0.00 μB/f.u.

Record 3
Material: ZrInOs2
Method: DFT, PBE-GGA
State: optimized geometry

Cell lengths 2.871, 3.825, 6.728 Å; angles 90.00, 90.00, 90.00 degrees
Space group Pmm2 (No. 25)
One atom of each set of equivalent atoms:
Zr (0.000, 0.000, 0.000) [1 per cell]
In (0.500, 0.500, 0.312) [1 per cell]
Os (0.000, 0.000, 0.584) [1 per cell]
Os (0.500, 0.500, 0.739) [1 per cell]

Summary:
For the calculated volume, the calculation gives 73.9 Å³/cell. The total energy is -8.348 eV/atom. For the total magnetic moment, the calculation gives 0.00 μB/f.u.

Record 4
Material: Zr4InOs
Method: DFT, PBE-GGA
State: optimized geometry

Cell lengths 7.948, 7.948, 7.948 Å; angles 90.00, 90.00, 90.00 degrees
Space group F-43m (No. 216)
One atom of each set of equivalent atoms:
Zr (0.124, 0.124, 0.376) [16 per cell]
In (0.000, 0.000, 0.000) [4 per cell]
Os (0.250, 0.250, 0.750) [4 per cell]

Summary:
For the calculated volume, the calculation gives 502.1 Å³/cell. The total energy is -7.617 eV/atom. For the total magnetic moment, the calculation gives 0.00 μB/f.u.

Record 5
Material: ZrInOs2
Method: DFT, PBE-GGA
State: optimized geometry

Cell lengths 3.948, 3.948, 8.917 Å; angles 90.00, 90.00, 90.00 degrees
Space group I-4m2 (No. 119)
One atom of each set of equivalent atoms:
Zr (0.000, 0.000, 0.000) [2 per cell]
In (0.000, 0.500, 0.750) [2 per cell]
Os (0.000, 0.000, 0.500) [2 per cell]
Os (0.000, 0.500, 0.250) [2 per cell]

Summary:
For the calculated volume, the calculation gives 139.0 Å³/cell. The total energy is -8.318 eV/atom. For the total magnetic moment, the calculation gives 0.00 μB/f.u.

Record 6
Material: ZrInOs2
Method: DFT, PBE-GGA
State: optimized geometry

Cell lengths 2.871, 4.577, 5.336 Å; angles 90.00, 94.49, 90.00 degrees
Space group P2/m (No. 10)
One atom of each set of equivalent atoms:
Zr (0.000, 0.000, 0.000) [1 per cell]
In (0.500, 0.000, 0.500) [1 per cell]
Os (0.264, 0.500, 0.737) [2 per cell]

Summary:
For the calculated volume, the calculation gives 69.9 Å³/cell. The total energy is -8.169 eV/atom. For the total magnetic moment, the calculation gives 0.00 μB/f.u.

Record 7
Material: ZrInOs2
Method: DFT, PBE-GGA
State: optimized geometry

Cell lengths 6.547, 6.547, 6.547 Å; angles 90.00, 90.00, 90.00 degrees
Space group F-43m (No. 216)
One atom of each set of equivalent atoms:
Zr (0.000, 0.000, 0.000) [4 per cell]
In (0.250, 0.250, 0.250) [4 per cell]
Os (0.000, 0.000, 0.500) [4 per cell]
Os (0.250, 0.250, 0.750) [4 per cell]

Summary:
For the calculated volume, the calculation gives 280.6 Å³/cell. The total energy is -8.072 eV/atom. For the total magnetic moment, the calculation gives 0.00 μB/f.u.

Record 8
Material: ZrInOs2
Method: DFT, PBE-GGA
State: optimized geometry

Cell lengths 10.315, 3.052, 4.811 Å; angles 90.00, 111.87, 90.00 degrees
Space group Cm (No. 8)
One atom of each set of equivalent atoms:
Zr (0.000, 0.000, 0.000) [2 per cell]
In (0.223, 0.000, 0.624) [2 per cell]
Os (0.261, 0.500, 0.140) [2 per cell]
Os (0.474, 0.000, 0.492) [2 per cell]

Summary:
For the calculated volume, the calculation gives 140.5 Å³/cell. The total energy is -8.400 eV/atom. For the total magnetic moment, the calculation gives 0.00 μB/f.u.

Record 9
Material: Zr2InOs
Method: DFT, PBE-GGA
State: optimized geometry

Cell lengths 4.515, 4.515, 7.751 Å; angles 90.00, 90.00, 90.00 degrees
Space group I4/mmm (No. 139)
One atom of each set of equivalent atoms:
Zr (0.000, 0.500, 0.250) [4 per cell]
In (0.000, 0.000, 0.000) [2 per cell]
Os (0.000, 0.000, 0.500) [2 per cell]

Summary:
For the calculated volume, the calculation gives 158.0 Å³/cell. The total energy is -7.938 eV/atom. For the total magnetic moment, the calculation gives 0.00 μB/f.u.

Record 10
Material: Zr3InOs
Method: DFT, PBE-GGA
State: optimized geometry

Cell lengths 5.065, 5.065, 5.065 Å; angles 90.00, 90.00, 90.00 degrees
Space group Pm-3m (No. 221)
One atom of each set of equivalent atoms:
Zr (0.000, 0.000, 0.500) [3 per cell]
In (0.500, 0.500, 0.500) [1 per cell]
Os (0.000, 0.000, 0.000) [1 per cell]

Summary:
For the calculated volume, the calculation gives 129.9 Å³/cell. The calculation puts the energy above the most stable polymorph in this dataset at 0.0 kJ/mol of atoms. The total energy is -7.691 eV/atom. For the total magnetic moment, the calculation gives 0.00 μB/f.u.

Record 11
Material: Zr2InOs
Method: DFT, PBE-GGA
State: optimized geometry

Cell lengths 7.853, 7.853, 5.749 Å; angles 90.00, 90.00, 90.00 degrees
Space group I-42d (No. 122)
One atom of each set of equivalent atoms:
Zr (0.196, 0.750, 0.125) [8 per cell]
In (0.000, 0.000, 0.500) [4 per cell]
Os (0.000, 0.000, 0.000) [4 per cell]

Summary:
For the calculated volume, the calculation gives 354.5 Å³/cell. The total energy is -7.637 eV/atom. For the total magnetic moment, the calculation gives 0.00 μB/f.u.

Record 12
Material: ZrIn4Os
Method: DFT, PBE-GGA
State: optimized geometry

Cell lengths 8.046, 8.046, 8.046 Å; angles 90.00, 90.00, 90.00 degrees
Space group F-43m (No. 216)
One atom of each set of equivalent atoms:
Zr (0.000, 0.000, 0.000) [4 per cell]
In (0.125, 0.125, 0.625) [16 per cell]
Os (0.250, 0.250, 0.250) [4 per cell]

Summary:
For the calculated volume, the calculation gives 520.9 Å³/cell. The total energy is -4.418 eV/atom. For the total magnetic moment, the calculation gives 1.30 μB/f.u.

Record 13
Material: ZrInOs3
Method: DFT, PBE-GGA
State: optimized geometry

Cell lengths 4.849, 4.849, 4.849 Å; angles 90.00, 90.00, 90.00 degrees
Space group Pm-3m (No. 221)
One atom of each set of equivalent atoms:
Zr (0.000, 0.000, 0.000) [1 per cell]
In (0.500, 0.500, 0.500) [1 per cell]
Os (0.000, 0.000, 0.500) [3 per cell]

Summary:
For the calculated volume, the calculation gives 114.0 Å³/cell. The calculation puts the energy above the most stable polymorph in this dataset at 7.8 kJ/mol of atoms. The total energy is -6.771 eV/atom. For the total magnetic moment, the calculation gives 1.52 μB/f.u.

Record 14
Material: Zr2InOs
Method: DFT, PBE-GGA
State: optimized geometry

Cell lengths 4.637, 4.637, 3.665 Å; angles 90.00, 90.00, 90.00 degrees
Space group P4/mmm (No. 123)
One atom of each set of equivalent atoms:
Zr (0.000, 0.500, 0.000) [2 per cell]
In (0.000, 0.000, 0.500) [1 per cell]
Os (0.500, 0.500, 0.500) [1 per cell]

Summary:
For the calculated volume, the calculation gives 78.8 Å³/cell. The total energy is -7.976 eV/atom. For the total magnetic moment, the calculation gives 0.00 μB/f.u.

Record 15
Material: ZrInOs3
Method: DFT, PBE-GGA
State: optimized geometry

Cell lengths 4.753, 4.753, 4.753 Å; angles 90.00, 90.00, 90.00 degrees
Space group Pm-3m (No. 221)
One atom of each set of equivalent atoms:
Zr (0.000, 0.000, 0.000) [1 per cell]
In (0.500, 0.500, 0.500) [1 per cell]
Os (0.000, 0.500, 0.500) [3 per cell]

Summary:
For the calculated volume, the calculation gives 107.4 Å³/cell. The calculation puts the energy above the most stable polymorph in this dataset at 0.0 kJ/mol of atoms. The total energy is -6.852 eV/atom. For the total magnetic moment, the calculation gives 0.00 μB/f.u.

Record 16
Material: Zr2InOs
Method: DFT, PBE-GGA
State: optimized geometry

Cell lengths 3.329, 4.783, 10.238 Å; angles 90.00, 90.00, 90.00 degrees
Space group Imm2 (No. 44)
One atom of each set of equivalent atoms:
Zr (0.000, 0.000, 0.000) [2 per cell]
Zr (0.000, 0.500, 0.219) [2 per cell]
In (0.000, 0.500, 0.784) [2 per cell]
Os (0.000, 0.000, 0.511) [2 per cell]

Summary:
For the calculated volume, the calculation gives 163.0 Å³/cell. The total energy is -7.992 eV/atom. For the total magnetic moment, the calculation gives 0.00 μB/f.u.

Record 17
Material: ZrInOs2
Method: DFT, PBE-GGA
State: optimized geometry

Cell lengths 3.303, 3.303, 6.401 Å; angles 90.00, 90.00, 90.00 degrees
Space group P4/mmm (No. 123)
One atom of each set of equivalent atoms:
Zr (0.000, 0.000, 0.000) [1 per cell]
In (0.000, 0.000, 0.500) [1 per cell]
Os (0.500, 0.500, 0.248) [2 per cell]

Summary:
For the calculated volume, the calculation gives 69.8 Å³/cell. The total energy is -8.450 eV/atom. For the total magnetic moment, the calculation gives 0.00 μB/f.u.

Record 18
Material: ZrInOs2
Method: DFT, PBE-GGA
State: optimized geometry

Cell lengths 2.912, 2.912, 8.434 Å; angles 90.00, 90.00, 90.00 degrees
Space group P4mm (No. 99)
One atom of each set of equivalent atoms:
Zr (0.000, 0.000, 0.000) [1 per cell]
In (0.500, 0.500, 0.298) [1 per cell]
Os (0.000, 0.000, 0.546) [1 per cell]
Os (0.500, 0.500, 0.738) [1 per cell]

Summary:
For the calculated volume, the calculation gives 71.5 Å³/cell. The total energy is -8.423 eV/atom. For the total magnetic moment, the calculation gives 0.00 μB/f.u.

Record 19
Material: Zr2InOs
Method: DFT, PBE-GGA
State: optimized geometry

Cell lengths 3.2580, 3.2580, 27.3175 Å; angles 90.00, 90.00, 120.00 degrees
Space group R-3m (No. 166, hexagonal axes)
One atom of each set of equivalent atoms:
Zr (0.0000, 0.0000, 0.2398) [6 per cell]
In (0.0000, 0.0000, 0.0000) [3 per cell]
Os (0.0000, 0.0000, 0.5000) [3 per cell]

Summary:
For the calculated volume, the calculation gives 251.1 Å³/cell. The total energy is -7.868 eV/atom. For the total magnetic moment, the calculation gives 0.00 μB/f.u.

Record 20
Material: Zr2InOs
Method: DFT, PBE-GGA
State: optimized geometry

Cell lengths 6.284, 7.603, 3.301 Å; angles 90.00, 90.00, 90.00 degrees
Space group Cmmm (No. 65)
One atom of each set of equivalent atoms:
Zr (0.250, 0.250, 0.000) [4 per cell]
In (0.000, 0.000, 0.500) [2 per cell]
Os (0.000, 0.500, 0.500) [2 per cell]

Summary:
For the calculated volume, the calculation gives 157.7 Å³/cell. The total energy is -7.961 eV/atom. For the total magnetic moment, the calculation gives 0.00 μB/f.u.